The following is a GGA-PBE calculation of crystalline CsSr2Ca2 at its relaxed geometry, from Alexandria.

Properties
Its space-group type is I4/mmm (139). The calculation puts the density at 2.0 g/cm3. The calculation puts the volume at 63.8 A^3/atom. The value obtained for the density of states at the Fermi level is 7.37 states/eV/cell. The formation energy comes out at 1.3 eV per formula unit.

abc: 4.895 4.895 13.757
angles: 79.75 79.75 90.00
Fractional positions:
Sr: 0.629 0.629 0.741
Ca: 0.750 0.250 0.500
Ca: 0.250 0.750 0.500
Sr: 0.371 0.371 0.259
Cs: 0.000 0.000 0.000

***

The following is a GGA-PBE calculation of crystalline CsSrCa at its relaxed geometry, from Alexandria.

Properties
Its space-group type is Amm2 (38). The calculation puts the density at 2.4 g/cm3. The calculation puts the volume at 60.6 A^3/atom. The value obtained for the density of states at the Fermi level is 8.40 states/eV/cell. The formation energy comes out at 0.5 eV per formula unit.

abc: 4.336 4.328 22.389
angles: 90.00 90.00 120.06
Fractional positions:
Sr: 0.607 0.214 0.000
Ca: 0.272 0.545 0.855
Cs: 0.614 0.228 0.318
Sr: 0.287 0.573 0.500
Cs: 0.614 0.228 0.682
Ca: 0.272 0.545 0.145

***

The following is a GGA-PBE calculation of crystalline CsSr4Ca at its relaxed geometry, from Alexandria.

Properties
Its space-group type is F-43m (216). The calculation puts the density at 2.4 g/cm3. The calculation puts the volume at 61.2 A^3/atom. The value obtained for the density of states at the Fermi level is 6.95 states/eV/cell. The formation energy comes out at 1.1 eV per formula unit.

abc: 8.039 8.039 8.039
angles: 60.00 60.00 60.00
Fractional positions:
Ca: 0.000 0.000 0.000
Cs: 0.250 0.250 0.250
Sr: 0.123 0.626 0.626
Sr: 0.626 0.626 0.123
Sr: 0.626 0.626 0.626
Sr: 0.626 0.123 0.626